No. 1
# Cr2FeAs

A relaxed structure of Cr2FeAs (PBE, the Alexandria database).

For the formation energy, the calculation gives 0.13 eV per atom. The calculation puts the energy at -31.8 eV per cell.

The structure in POSCAR format:
```
Cr2FeAs
1.0
4.0013 0.0000 0.0000
0.0000 3.4615 0.0000
0.0000 0.0000 3.4615
As Cr Fe
1 2 1
Cartesian
2.0006 0.0000 1.7308 As
0.0000 1.7308 1.7308 Cr
0.0000 0.0000 0.0000 Cr
2.0006 1.7308 0.0000 Fe
```

---

No. 2
# Cr2FeAs

A relaxed structure of Cr2FeAs (PBE, the Alexandria database).

For the formation energy, the calculation gives 0.14 eV per atom. The calculation puts the energy at -31.8 eV per cell.

The structure in POSCAR format:
```
Cr2FeAs
1.0
-3.1802 2.1872 0.7571
-1.4740 -2.2129 0.2014
0.5021 -0.8518 4.5696
Cr As Fe
2 1 1
Cartesian
0.4655 -0.9028 4.5634 Cr
-1.8253 0.3175 1.6322 Cr
-2.0960 -0.8744 3.9386 As
-0.6800 -1.8019 2.3490 Fe
```

---

No. 3
# Cr2FeAs

A relaxed structure of Cr2FeAs (PBE, the Alexandria database).

For the formation energy, the calculation gives 0.18 eV per atom. The calculation puts the energy at -31.6 eV per cell.

The structure in POSCAR format:
```
Cr2FeAs
1.0
-3.9349 1.8314 0.9165
-0.0956 -4.2940 -1.1091
0.2924 -0.6835 2.6211
Cr Fe As
2 1 1
Cartesian
0.0000 0.0000 0.0000 Cr
-2.0152 -1.2313 -0.0963 Cr
-1.8213 0.5739 1.7688 Fe
0.0984 -2.4887 0.7560 As
```